#i
# TiInI2O

Crystalline TiInI2O at its relaxed geometry (PBE-GGA, Alexandria via LeMat-Bulk).

The structure in POSCAR format:
```
TiInI2O
1.0
5.956 0.000 0.000
0.000 5.956 0.000
0.000 0.000 3.808
Ti In I O
1 1 2 1
direct
0.000 0.000 0.000 Ti
0.500 0.500 0.500 In
0.000 0.500 0.000 I
0.500 0.000 0.000 I
0.000 0.000 0.500 O
```

## Properties
DOS at the Fermi energy = 0.09 states/eV per atom
Volume = 135.10 Å³/cell

#ii
# TiInI2O

Crystalline TiInI2O at its relaxed geometry (PBE-GGA, Alexandria via LeMat-Bulk).

The structure in POSCAR format:
```
TiInI2O
1.0
6.025 0.000 0.000
0.000 6.025 0.000
0.000 0.000 3.945
Ti In I O
1 1 2 1
direct
0.000 0.000 0.000 Ti
0.500 0.500 0.500 In
0.000 0.500 0.500 I
0.500 0.000 0.500 I
0.500 0.500 0.000 O
```

## Properties
DOS at the Fermi energy = 0.73 states/eV per atom
Volume = 143.21 Å³/cell

Which structure is the least stable? The one labeled #ii.